First-principles (PBE) data for an optimized crystal structure of MgCd3Te, as listed in Alexandria.

Output
As for the space group: Pm-3m, No. 221. As for the relative energy among the computed polymorphs: 0.00 kcal/mol of atoms. The total DFT energy (no corrections) comes out at -0.085 Ry/atom. The calculation puts the volume at 158 Å³ per cell. The uncorrected formation energy comes out at 341 meV/atom.

The structure in CIF format:
```
data_MgCd3Te
_symmetry_space_group_name_H-M 'P 1'
_symmetry_Int_Tables_number 1
_cell_length_a 5.4046
_cell_length_b 5.4046
_cell_length_c 5.4046
_cell_angle_alpha 90.00
_cell_angle_beta 90.00
_cell_angle_gamma 90.00
loop_
_symmetry_equiv_pos_as_xyz
'x,y,z'
loop_
_atom_site_label
_atom_site_fract_x
_atom_site_fract_y
_atom_site_fract_z
_atom_site_occupancy
Mg1 0.0000 0.0000 0.0000 1
Cd1 0.0000 0.0000 0.5000 1
Cd2 0.0000 0.5000 0.0000 1
Cd3 0.5000 0.0000 0.0000 1
Te1 0.5000 0.5000 0.5000 1
```

***

First-principles (PBE) data for an optimized crystal structure of Zr5Ag4, as listed in Alexandria.

Output
As for the space group: P6_3/mcm, No. 193. As for the relative energy among the computed polymorphs: 0.74 kcal/mol of atoms. The total DFT energy (no corrections) comes out at -0.436 Ry/atom. The calculation puts the volume at 378 Å³ per cell.

The structure in CIF format:
```
data_Zr5Ag4
_symmetry_space_group_name_H-M 'P 1'
_symmetry_Int_Tables_number 1
_cell_length_a 8.8699
_cell_length_b 8.8699
_cell_length_c 5.5467
_cell_angle_alpha 90.00
_cell_angle_beta 90.00
_cell_angle_gamma 120.00
loop_
_symmetry_equiv_pos_as_xyz
'x,y,z'
loop_
_atom_site_label
_atom_site_fract_x
_atom_site_fract_y
_atom_site_fract_z
_atom_site_occupancy
Zr1 0.0000 0.2896 0.2500 1
Zr2 0.0000 0.7104 0.7500 1
Zr3 0.2896 0.0000 0.2500 1
Zr4 0.2896 0.2896 0.7500 1
Zr5 0.3333 0.6667 0.0000 1
Zr6 0.3333 0.6667 0.5000 1
Zr7 0.6667 0.3333 0.0000 1
Zr8 0.6667 0.3333 0.5000 1
Zr9 0.7104 0.0000 0.7500 1
Zr10 0.7104 0.7104 0.2500 1
Ag1 0.0000 0.0000 0.0000 1
Ag2 0.0000 0.0000 0.5000 1
Ag3 0.0000 0.3849 0.7500 1
Ag4 0.0000 0.6151 0.2500 1
Ag5 0.3849 0.0000 0.7500 1
Ag6 0.3849 0.3849 0.2500 1
Ag7 0.6151 0.0000 0.2500 1
Ag8 0.6151 0.6151 0.7500 1
```

***

Repeat the first record exactly.
First-principles (PBE) data for an optimized crystal structure of MgCd3Te, as listed in Alexandria.

Output
As for the space group: Pm-3m, No. 221. As for the relative energy among the computed polymorphs: 0.00 kcal/mol of atoms. The total DFT energy (no corrections) comes out at -0.085 Ry/atom. The calculation puts the volume at 158 Å³ per cell. The uncorrected formation energy comes out at 341 meV/atom.

The structure in CIF format:
```
data_MgCd3Te
_symmetry_space_group_name_H-M 'P 1'
_symmetry_Int_Tables_number 1
_cell_length_a 5.4046
_cell_length_b 5.4046
_cell_length_c 5.4046
_cell_angle_alpha 90.00
_cell_angle_beta 90.00
_cell_angle_gamma 90.00
loop_
_symmetry_equiv_pos_as_xyz
'x,y,z'
loop_
_atom_site_label
_atom_site_fract_x
_atom_site_fract_y
_atom_site_fract_z
_atom_site_occupancy
Mg1 0.0000 0.0000 0.0000 1
Cd1 0.0000 0.0000 0.5000 1
Cd2 0.0000 0.5000 0.0000 1
Cd3 0.5000 0.0000 0.0000 1
Te1 0.5000 0.5000 0.5000 1
```

***

Question: Among the records above, which one has the highest total DFT energy (no corrections)?
Answer: MgCd3Te